## P
B5C7 after structural relaxation. Source: the Alexandria database, functional GGA-PBE.

abc: 4.862 4.862 7.276
angles: 114.00 114.00 31.01
Atoms (fractional coordinates):
B  0.316  0.316  0.638
B  0.325  0.325  0.178
B  0.613  0.613  0.287
B  0.989  0.989  0.019
B  0.512  0.512  0.834
C  0.903  0.903  0.626
C  0.492  0.492  0.389
C  0.681  0.681  0.826
C  0.158  0.158  0.209
C  0.012  0.012  0.517
C  0.822  0.822  0.027
C  0.177  0.177  0.700

Output
Space group: Cm, No. 8

---

## Q
B5C7 after structural relaxation. Source: the Alexandria database, functional GGA-PBE.

abc: 2.596 4.616 6.570
angles: 95.55 90.00 90.00
Atoms (fractional coordinates):
B  0.500  0.523  0.955
B  0.000  0.295  0.354
B  0.500  0.860  0.347
B  0.500  0.158  0.947
B  0.500  0.440  0.208
C  0.000  0.963  0.242
C  0.000  0.976  0.014
C  0.000  0.692  0.664
C  0.500  0.206  0.681
C  0.000  0.687  0.897
C  0.500  0.850  0.593
C  0.000  0.350  0.596

Output
Space group: Pm, No. 6

---

Verdict on stability: Q comes out at the bottom.